(1)
Computed, not measured: crystalline NaSrInP2 at its relaxed geometry at the PBE level of DFT.

Values from the calculation:
As for the energy relative to the lowest polymorph listed for this composition: 0.0 meV/atom. The value obtained for the spin magnetization is 0.0 μB per cell. As for the space group: C2/m (12). The value obtained for the calculated formation energy is -0.49 eV/atom.

Lattice parameters (Å, degrees): 7.353 7.353 9.106 98.54 98.54 34.43
Fractional coordinates of all 10 atoms:
Na (0.181, 0.181, 0.049)
Na (0.819, 0.819, 0.951)
Sr (0.170, 0.170, 0.668)
Sr (0.830, 0.830, 0.332)
In (0.437, 0.437, 0.807)
In (0.563, 0.563, 0.193)
P (0.141, 0.141, 0.334)
P (0.383, 0.383, 0.114)
P (0.617, 0.617, 0.886)
P (0.859, 0.859, 0.666)

(2)
Computed, not measured: crystalline NaSrInP2 at its relaxed geometry at the PBE level of DFT.

Values from the calculation:
As for the energy relative to the lowest polymorph listed for this composition: 744.3 meV/atom. The value obtained for the spin magnetization is 0.0 μB per cell. As for the space group: P4/mmm (123). The value obtained for the calculated formation energy is 0.25 eV/atom.

Lattice parameters (Å, degrees): 5.143 5.143 5.123 90.00 90.00 90.00
Fractional coordinates of all 5 atoms:
Na (0.000, 0.000, 0.000)
Sr (0.500, 0.500, 0.500)
In (0.000, 0.000, 0.500)
P (0.000, 0.500, 0.000)
P (0.500, 0.000, 0.000)

(3)
Computed, not measured: crystalline Na2SrInP2 at its relaxed geometry at the PBE level of DFT.

Values from the calculation:
The value obtained for the spin magnetization is 0.0 μB per cell. As for the space group: Pmc2_1 (26). The value obtained for the calculated formation energy is -0.50 eV/atom.

Lattice parameters (Å, degrees): 4.976 8.226 7.395 90.00 90.00 90.00
Fractional coordinates of all 12 atoms:
Na (0.000, 0.090, 0.000)
Na (0.000, 0.910, 0.500)
Na (0.500, 0.140, 0.321)
Na (0.500, 0.860, 0.821)
Sr (0.500, 0.453, 0.976)
Sr (0.500, 0.547, 0.476)
In (0.000, 0.298, 0.629)
In (0.000, 0.702, 0.129)
P (0.000, 0.371, 0.254)
P (0.000, 0.629, 0.754)
P (0.500, 0.188, 0.699)
P (0.500, 0.812, 0.199)

(4)
Computed, not measured: crystalline NaPa2In9 at its relaxed geometry at the PBE level of DFT.

Values from the calculation:
The value obtained for the spin magnetization is 1.8 μB per cell. As for the space group: P4/mmm (123). The value obtained for the calculated formation energy is -0.09 eV/atom.

Lattice parameters (Å, degrees): 4.642 4.642 14.037 90.00 90.00 90.00
Fractional coordinates of all 12 atoms:
Na (0.000, 0.000, 0.000)
Pa (0.000, 0.000, 0.336)
Pa (0.000, 0.000, 0.664)
In (0.000, 0.500, 0.166)
In (0.000, 0.500, 0.500)
In (0.000, 0.500, 0.834)
In (0.500, 0.000, 0.166)
In (0.500, 0.000, 0.500)
In (0.500, 0.000, 0.834)
In (0.500, 0.500, 0.000)
In (0.500, 0.500, 0.336)
In (0.500, 0.500, 0.664)

(5)
Computed, not measured: crystalline NaPaIn at its relaxed geometry at the PBE level of DFT.

Values from the calculation:
The value obtained for the spin magnetization is 0.0 μB per cell. As for the space group: P2_1/m (11). The value obtained for the calculated formation energy is 0.00 eV/atom.

Lattice parameters (Å, degrees): 3.162 3.153 15.778 90.00 90.18 90.00
Fractional coordinates of all 6 atoms:
Na (0.247, 0.250, 0.099)
Na (0.753, 0.750, 0.901)
Pa (0.249, 0.250, 0.420)
Pa (0.751, 0.750, 0.580)
In (0.253, 0.250, 0.743)
In (0.747, 0.750, 0.257)

(6)
Computed, not measured: crystalline NaPaIn4 at its relaxed geometry at the PBE level of DFT.

Values from the calculation:
The value obtained for the spin magnetization is 1.0 μB per cell. As for the space group: P2/m (10). The value obtained for the calculated formation energy is -0.07 eV/atom.

Lattice parameters (Å, degrees): 3.261 5.123 9.050 90.00 90.04 90.00
Fractional coordinates of all 6 atoms:
Na (0.000, 0.000, 0.000)
Pa (0.000, 0.500, 0.500)
In (0.498, 0.000, 0.335)
In (0.499, 0.500, 0.835)
In (0.501, 0.500, 0.165)
In (0.502, 0.000, 0.665)

Q: Which value of calculated formation energy does entry 2 give?
A: 0.25 eV/atom

Q: What is the formula in the second record?
A: NaSrInP2

Q: Among the records above, which one has the lowest calculated formation energy?
A: Na2SrInP2

Q: Among the records above, which one has the highest spin magnetization?
A: NaPa2In9